The following is a DFT calculation (PBE) of an optimized crystal structure of PmCoN.

Output
Its formation energy (no corrections) is -0.2863 eV per atom. Its space group is P3m1 (156). The calculation puts the density of states at the Fermi level at 1.003 states/eV per atom. For the energy above the most stable polymorph in this dataset, the calculation gives 40.5 kJ per mole of atoms. The calculation puts the total magnetization at 0.0 μB/f.u.

a = 3.5307 Å, b = 3.5307 Å, c = 3.8537 Å
α = 90.00°, β = 90.00°, γ = 120.00°
Sites, in units of the cell vectors:
Pm  0.0000  0.0000  0.0000
Co  0.6667  0.3333  0.5003
N  0.3333  0.6667  0.5015

The following is a DFT calculation (PBE) of an optimized crystal structure of NpPaMo2N6.

Output
Its formation energy (no corrections) is -0.7951 eV per atom. Its space group is C2/c (15). The calculation puts the density of states at the Fermi level at 1.089 states/eV per atom. The calculation puts the total magnetization at 3.5 μB/f.u.

a = 7.0517 Å, b = 7.0517 Å, c = 5.9516 Å
α = 101.62°, β = 101.62°, γ = 82.67°
Sites, in units of the cell vectors:
Np  0.0889  0.9111  0.7500
Np  0.9111  0.0889  0.2500
Pa  0.3233  0.6767  0.2500
Pa  0.6767  0.3233  0.7500
Mo  0.1956  0.3930  0.7267
Mo  0.3930  0.1956  0.2267
Mo  0.6070  0.8044  0.7733
Mo  0.8044  0.6070  0.2733
N  0.0081  0.7787  0.3610
N  0.1203  0.6380  0.8899
N  0.2213  0.9919  0.1390
N  0.3277  0.4049  0.4746
N  0.3620  0.8797  0.6101
N  0.4049  0.3277  0.9746
N  0.5951  0.6723  0.0254
N  0.6380  0.1203  0.3899
N  0.6723  0.5951  0.5254
N  0.7787  0.0081  0.8610
N  0.8797  0.3620  0.1101
N  0.9919  0.2213  0.6390

The following is a DFT calculation (PBE) of an optimized crystal structure of Ca3Cu8Ge.

Output
Its space group is R3m (160). As for the formation energy: -0.104 eV/atom. The calculation puts the density of states at the Fermi level at 0.451 states/eV per atom. The calculation puts the total magnetization at 0.0 μB/f.u.

a = 9.0797 Å, b = 9.0797 Å, c = 9.0797 Å
α = 33.02°, β = 33.02°, γ = 33.02°
Sites, in units of the cell vectors:
Ca  0.0000  0.0000  0.0000
Ca  0.1289  0.1289  0.1289
Ca  0.6142  0.6142  0.6142
Cu  0.0582  0.0582  0.5639
Cu  0.0582  0.5639  0.0582
Cu  0.0629  0.5611  0.5611
Cu  0.3108  0.3108  0.3108
Cu  0.5611  0.0629  0.5611
Cu  0.5611  0.5611  0.0629
Cu  0.5639  0.0582  0.0582
Cu  0.8110  0.8110  0.8110
Ge  0.4917  0.4917  0.4917

The following is a DFT calculation (PBE) of an optimized crystal structure of LuThPa.

Output
Its space group is I4mm (107). As for the formation energy: 0.134 eV/atom. The calculation puts the density of states at the Fermi level at 1.754 states/eV per atom. For the energy above the most stable polymorph in this dataset, the calculation gives 0.0 kJ per mole of atoms. The calculation puts the total magnetization at 0.0 μB/f.u.

a = 7.9622 Å, b = 7.9622 Å, c = 7.9622 Å
α = 155.57°, β = 155.57°, γ = 34.82°
Sites, in units of the cell vectors:
Lu  0.0000  0.0000  0.0000
Th  0.6790  0.6790  0.0000
Pa  0.3397  0.3397  0.0000

The following is a DFT calculation (PBE) of an optimized crystal structure of LaAsRu2.

Output
Its space group is P2/m (10). As for the formation energy: 0.013 eV/atom. The calculation puts the density of states at the Fermi level at 0.765 states/eV per atom. The calculation puts the total magnetization at 0.0 μB/f.u.

a = 3.1173 Å, b = 4.1795 Å, c = 5.7849 Å
α = 90.00°, β = 94.87°, γ = 90.00°
Sites, in units of the cell vectors:
La  0.0000  0.0000  0.0000
As  0.5000  0.0000  0.5000
Ru  0.3003  0.5000  0.7023
Ru  0.6997  0.5000  0.2977

The following is a DFT calculation (PBE) of an optimized crystal structure of K2LaTlS4.

Output
Its formation energy (no corrections) is -1.1873 eV per atom. Its space group is C2/c (15). The calculation puts the total magnetization at 0.0 μB/f.u.

a = 8.5560 Å, b = 8.5560 Å, c = 8.4015 Å
α = 118.16°, β = 118.16°, γ = 92.51°
Sites, in units of the cell vectors:
K  0.0000  0.0000  0.0000
K  0.0000  0.0000  0.5000
K  0.0000  0.5000  0.0000
K  0.5000  0.0000  0.5000
La  0.0000  0.5000  0.5000
La  0.5000  0.0000  0.0000
Tl  0.5000  0.5000  0.0000
Tl  0.5000  0.5000  0.5000
S  0.2503  0.7396  0.9697
S  0.2604  0.7497  0.5303
S  0.2802  0.2958  0.5135
S  0.2958  0.2802  0.0135
S  0.7042  0.7198  0.9865
S  0.7198  0.7042  0.4865
S  0.7396  0.2503  0.4697
S  0.7497  0.2604  0.0303

The following is a DFT calculation (PBE) of an optimized crystal structure of ZrSbAu.

Output
Its formation energy (no corrections) is -0.4077 eV per atom. Its space group is P3m1 (156). The calculation puts the density of states at the Fermi level at 0.115 states/eV per atom. The calculation puts the total magnetization at 0.0 μB/f.u.

a = 4.4788 Å, b = 4.4788 Å, c = 3.9624 Å
α = 90.00°, β = 90.00°, γ = 120.00°
Sites, in units of the cell vectors:
Zr  0.0000  0.0000  0.0000
Sb  0.3333  0.6667  0.5486
Au  0.6667  0.3333  0.2477

The following is a DFT calculation (PBE) of an optimized crystal structure of Ac2SbI2.

Output
Its formation energy (no corrections) is -1.3814 eV per atom. Its space group is R-3m (166). The calculation puts the density of states at the Fermi level at 0.467 states/eV per atom. The calculation puts the total magnetization at 0.0 μB/f.u.

a = 12.0460 Å, b = 12.0460 Å, c = 12.0460 Å
α = 22.73°, β = 22.73°, γ = 22.73°
Sites, in units of the cell vectors:
Ac  0.1143  0.1143  0.1143
Ac  0.8857  0.8857  0.8857
Sb  0.5000  0.5000  0.5000
I  0.2779  0.2779  0.2779
I  0.7221  0.7221  0.7221